1.
Density functional theory data (PBE) for crystalline Li2ZrIn at its relaxed geometry.

Unit cell a=4.1880 b=4.1880 c=4.6690 alpha=90.00 beta=90.00 gamma=90.00
Last column: nearest neighbours and their distance in Å.
Fractional coordinates of all 4 atoms:
1 Li 0.0000 0.5000 0.0000  4 Li 2.96, 4 In 3.14, 4 Zr 3.14
2 Li 0.5000 0.0000 0.0000  4 Li 2.96, 4 In 3.14, 4 Zr 3.14
3 Zr 0.0000 0.0000 0.5000  4 In 2.96, 8 Li 3.14
4 In 0.5000 0.5000 0.5000  4 Zr 2.96, 8 Li 3.14

Output
DFT total energy = -15.19 eV/cell
SG = No. 123
V = 82 Å³/cell
total magnetization = 0.00 μB/cell
E_form = -19 meV per atom

=====

2.
Density functional theory data (PBE) for crystalline NaHf3I at its relaxed geometry.

Unit cell a=5.2978 b=5.2978 c=5.2978 alpha=90.00 beta=90.00 gamma=90.00
Last column: nearest neighbours and their distance in Å.
Fractional coordinates of all 5 atoms:
1 Na 0.0000 0.0000 0.0000  12 Hf 3.75
2 Hf 0.0000 0.5000 0.5000  2 I 2.65
3 Hf 0.5000 0.0000 0.5000  2 I 2.65
4 Hf 0.5000 0.5000 0.0000  2 I 2.65
5 I 0.5000 0.5000 0.5000  6 Hf 2.65

Output
raw formation energy = 28.11 kcal/mol of atoms
DFT total energy = -26.64 eV/cell
SG = No. 221
V = 149 Å³/cell
total magnetization = 0.00 μB/cell

=====

3.
Density functional theory data (PBE) for crystalline KAg2Sb2 at its relaxed geometry.

Unit cell a=6.8114 b=6.8114 c=6.8114 alpha=138.23 beta=138.23 gamma=60.56
Last column: nearest neighbours and their distance in Å.
Fractional coordinates of all 5 atoms:
1 K 0.0000 0.0000 0.0000  8 Sb 3.72, 8 Ag 3.81
2 Ag 0.2500 0.7500 0.5000  4 Sb 2.85
3 Ag 0.7500 0.2500 0.5000  4 Sb 2.85
4 Sb 0.3776 0.3776 0.0000  4 Ag 2.85, 1 Sb 2.88
5 Sb 0.6224 0.6224 0.0000  4 Ag 2.85, 1 Sb 2.88

Output
raw formation energy = -4.68 kcal/mol of atoms
DFT total energy = -16.06 eV/cell
SG = No. 139
V = 139 Å³/cell
total magnetization = 0.00 μB/cell

=====

4.
Density functional theory data (PBE) for crystalline TmAlZnCd at its relaxed geometry.

Unit cell a=4.8547 b=4.8547 c=4.8547 alpha=60.00 beta=60.00 gamma=60.00
Last column: nearest neighbours and their distance in Å.
Fractional coordinates of all 4 atoms:
1 Tm 0.0000 0.0000 0.0000  4 Cd 2.97, 4 Zn 2.97
2 Al 0.5000 0.5000 0.5000  4 Cd 2.97, 4 Zn 2.97
3 Zn 0.7500 0.7500 0.7500  4 Tm 2.97, 4 Al 2.97
4 Cd 0.2500 0.2500 0.2500  4 Al 2.97, 4 Tm 2.97

Output
DFT total energy = -11.16 eV/cell
SG = No. 216
V = 81 Å³/cell
total magnetization = 0.00 μB/cell
E_form = -190 meV per atom

=====

5.
Density functional theory data (PBE) for crystalline Na2ErBO4 at its relaxed geometry.

Unit cell a=12.7582 b=11.8424 c=5.9341 alpha=84.82 beta=67.58 gamma=27.60
Last column: nearest neighbours and their distance in Å.
Fractional coordinates of all 16 atoms:
1 Na 0.0806 0.0806 0.6694  4 O 2.57-2.74
2 Na 0.3306 0.3306 0.9194  4 O 2.57-2.74
3 Na 0.6694 0.6694 0.0806  4 O 2.57-2.74
4 Na 0.9194 0.9194 0.3306  4 O 2.57-2.74
5 Er 0.1250 0.1250 0.1250  4 O 2.09
6 Er 0.8750 0.8750 0.8750  4 O 2.09
7 B 0.3750 0.3750 0.3750  4 O 1.53
8 B 0.6250 0.6250 0.6250  4 O 1.53
9 O 0.0791 0.5990 0.4925  1 B 1.53
10 O 0.3294 0.4925 0.5990  1 B 1.53
11 O 0.4010 0.9209 0.6706  1 B 1.53
12 O 0.4925 0.3294 0.0791  1 B 1.53
13 O 0.5075 0.6706 0.9209  1 B 1.53
14 O 0.5990 0.0791 0.3294  1 B 1.53
15 O 0.6706 0.5075 0.4010  1 B 1.53
16 O 0.9209 0.4010 0.5075  1 B 1.53

Output
raw formation energy = -44.65 kcal/mol of atoms
DFT total energy = -98.40 eV/cell
SG = No. 70
V = 313 Å³/cell
total magnetization = 0.00 μB/cell

=====

6.
Density functional theory data (PBE) for crystalline Hf2PdO4 at its relaxed geometry.

Unit cell a=6.6200 b=6.6200 c=6.6200 alpha=144.53 beta=144.53 gamma=51.04
Last column: nearest neighbours and their distance in Å.
Fractional coordinates of all 7 atoms:
1 Hf 0.1293 0.1293 0.0000  1 O 1.84
2 Hf 0.8707 0.8707 0.0000  1 O 1.84
3 Pd 0.5000 0.5000 0.0000  4 O 2.02
4 O 0.0000 0.5000 0.5000  2 Pd 2.02
5 O 0.2833 0.2833 0.0000  1 Hf 1.84
6 O 0.5000 0.0000 0.5000  2 Pd 2.02
7 O 0.7167 0.7167 0.0000  1 Hf 1.84

Output
raw formation energy = -31.45 kcal/mol of atoms
DFT total energy = -54.48 eV/cell
SG = No. 139
V = 97 Å³/cell
total magnetization = 0.00 μB/cell

=====

7.
Density functional theory data (PBE) for crystalline BiSbPd2 at its relaxed geometry.

Unit cell a=8.4125 b=7.3209 c=5.7620 alpha=90.00 beta=90.00 gamma=90.00
Last column: nearest neighbours and their distance in Å.
Fractional coordinates of all 16 atoms:
1 Bi 0.1231 0.0900 0.2500  6 Pd 2.88-2.94
2 Bi 0.1231 0.4100 0.7500  6 Pd 2.88-2.94
3 Bi 0.8769 0.5900 0.2500  6 Pd 2.88-2.94
4 Bi 0.8769 0.9100 0.7500  6 Pd 2.88-2.94
5 Sb 0.3733 0.5728 0.2500  6 Pd 2.74-2.77
6 Sb 0.3733 0.9272 0.7500  6 Pd 2.74-2.77
7 Sb 0.6267 0.0728 0.2500  6 Pd 2.74-2.77
8 Sb 0.6267 0.4272 0.7500  6 Pd 2.74-2.77
9 Pd 0.1438 0.7500 0.0000  2 Sb 2.74, 4 Bi 2.88-2.91, 2 Pd 2.88
10 Pd 0.1438 0.7500 0.5000  2 Sb 2.74, 4 Bi 2.88-2.91, 2 Pd 2.88
11 Pd 0.3946 0.2500 0.0000  4 Sb 2.75-2.77, 2 Pd 2.88, 2 Bi 2.94
12 Pd 0.3946 0.2500 0.5000  4 Sb 2.75-2.77, 2 Pd 2.88, 2 Bi 2.94
13 Pd 0.6054 0.7500 0.0000  4 Sb 2.75-2.77, 2 Pd 2.88, 2 Bi 2.94
14 Pd 0.6054 0.7500 0.5000  4 Sb 2.75-2.77, 2 Pd 2.88, 2 Bi 2.94
15 Pd 0.8562 0.2500 0.0000  2 Sb 2.74, 4 Bi 2.88-2.91, 2 Pd 2.88
16 Pd 0.8562 0.2500 0.5000  2 Sb 2.74, 4 Bi 2.88-2.91, 2 Pd 2.88

Output
raw formation energy = -8.66 kcal/mol of atoms
DFT total energy = -79.56 eV/cell
SG = No. 57
V = 355 Å³/cell
total magnetization = 0.00 μB/cell

=====

8.
Density functional theory data (PBE) for crystalline Tc2AsBr at its relaxed geometry.

Unit cell a=4.2494 b=3.7476 c=5.8104 alpha=90.00 beta=92.89 gamma=90.00
Last column: nearest neighbours and their distance in Å.
Fractional coordinates of all 4 atoms:
1 Tc 0.1865 0.0000 0.3723  1 Tc 2.23, 2 As 2.40
2 Tc 0.8135 0.0000 0.6277  1 Tc 2.23, 2 As 2.40
3 As 0.5000 0.5000 0.5000  4 Tc 2.40
4 Br 0.0000 0.5000 0.0000  4 Tc 2.94

Output
raw formation energy = 8.54 kcal/mol of atoms
DFT total energy = -25.57 eV/cell
SG = No. 10
V = 92 Å³/cell
total magnetization = 0.00 μB/cell

=====

9.
Density functional theory data (PBE) for crystalline PmNi2H8Ru at its relaxed geometry.

Unit cell a=5.9112 b=5.9112 c=5.9112 alpha=45.51 beta=45.51 gamma=45.51
Last column: nearest neighbours and their distance in Å.
Fractional coordinates of all 12 atoms:
1 Pm 0.0000 0.0000 0.0000  6 H 2.31
2 Ni 0.2140 0.2140 0.2140  4 H 1.57-1.65
3 Ni 0.7860 0.7860 0.7860  4 H 1.57-1.65
4 H 0.1330 0.7983 0.4143  1 Ni 1.65, 1 Ru 1.73
5 H 0.2017 0.5857 0.8670  1 Ni 1.65, 1 Ru 1.73
6 H 0.3127 0.3127 0.3127  1 Ni 1.57
7 H 0.4143 0.1330 0.7983  1 Ni 1.65, 1 Ru 1.73
8 H 0.5857 0.8670 0.2017  1 Ni 1.65, 1 Ru 1.73
9 H 0.6873 0.6873 0.6873  1 Ni 1.57
10 H 0.7983 0.4143 0.1330  1 Ni 1.65, 1 Ru 1.73
11 H 0.8670 0.2017 0.5857  1 Ni 1.65, 1 Ru 1.73
12 Ru 0.5000 0.5000 0.5000  6 H 1.73

Output
DFT total energy = -54.08 eV/cell
SG = No. 148
V = 96 Å³/cell
total magnetization = 0.00 μB/cell

=====

10.
Density functional theory data (PBE) for crystalline Nd3Si4Ir2 at its relaxed geometry.

Unit cell a=6.0460 b=6.0460 c=8.1980 alpha=108.14 beta=108.14 gamma=40.37
Last column: nearest neighbours and their distance in Å.
Fractional coordinates of all 9 atoms:
1 Nd 0.0000 0.0000 0.0000  8 Si 3.09-3.42
2 Nd 0.3916 0.3916 0.3067  7 Si 2.97-3.19, 3 Ir 3.18-3.21, 1 Nd 3.31
3 Nd 0.6084 0.6084 0.6933  7 Si 2.97-3.19, 3 Ir 3.18-3.21, 1 Nd 3.31
4 Si 0.1082 0.1082 0.3989  3 Ir 2.38-2.45
5 Si 0.2789 0.2789 0.9240  1 Ir 2.43, 2 Si 2.62
6 Si 0.7211 0.7211 0.0760  1 Ir 2.43, 2 Si 2.62
7 Si 0.8918 0.8918 0.6011  3 Ir 2.38-2.45
8 Ir 0.3048 0.3048 0.6414  4 Si 2.38-2.45
9 Ir 0.6952 0.6952 0.3586  4 Si 2.38-2.45

Output
raw formation energy = -20.36 kcal/mol of atoms
DFT total energy = -61.66 eV/cell
SG = No. 12
V = 183 Å³/cell
total magnetization = 0.00 μB/cell

=====

11.
Density functional theory data (PBE) for crystalline LiTb2Tm3Te6 at its relaxed geometry.

Unit cell a=9.6749 b=9.6749 c=8.6456 alpha=102.99 beta=102.99 gamma=25.74
Last column: nearest neighbours and their distance in Å.
Fractional coordinates of all 12 atoms:
1 Li 0.0000 0.0000 0.0000  6 Te 2.99-3.02
2 Tb 0.3292 0.3292 0.6572  6 Te 3.05-3.15
3 Tb 0.6708 0.6708 0.3428  6 Te 3.05-3.15
4 Tm 0.0000 0.0000 0.5000  6 Te 2.99-3.09
5 Tm 0.3305 0.3305 0.1683  6 Te 3.00-3.10
6 Tm 0.6695 0.6695 0.8317  6 Te 3.00-3.10
7 Te 0.1628 0.1628 0.0781  1 Li 2.99, 3 Tm 3.05-3.08, 2 Tb 3.12
8 Te 0.1631 0.1631 0.5882  3 Tm 2.99-3.00, 3 Tb 3.05
9 Te 0.4993 0.4993 0.2440  2 Li 3.02, 3 Tm 3.09-3.10, 1 Tb 3.15
10 Te 0.5007 0.5007 0.7560  2 Li 3.02, 3 Tm 3.09-3.10, 1 Tb 3.15
11 Te 0.8369 0.8369 0.4118  3 Tm 2.99-3.00, 3 Tb 3.05
12 Te 0.8372 0.8372 0.9219  1 Li 2.99, 3 Tm 3.05-3.08, 2 Tb 3.12

Output
raw formation energy = -29.25 kcal/mol of atoms
DFT total energy = -58.66 eV/cell
SG = No. 12
V = 342 Å³/cell
total magnetization = 0.00 μB/cell

=====

12.
Density functional theory data (PBE) for crystalline CaNiRu at its relaxed geometry.

Unit cell a=2.9527 b=2.9527 c=6.7082 alpha=90.00 beta=90.00 gamma=120.00
Last column: nearest neighbours and their distance in Å.
Fractional coordinates of all 3 atoms:
1 Ca 0.0000 0.0000 0.0000  3 Ni 2.95, 6 Ca 2.95, 3 Ru 2.98
2 Ni 0.6667 0.3333 0.3590  3 Ru 2.52
3 Ru 0.3333 0.6667 0.6362  3 Ni 2.52

Output
DFT total energy = -15.16 eV/cell
SG = No. 156
V = 51 Å³/cell
total magnetization = 0.00 μB/cell
E_form = 632 meV per atom